First-principles (GGA-PBE) data for a relaxed structure of Ru4Pt, as listed in the Alexandria database.

The formation energy is 2274 meV per atom. The value obtained for the calculated total energy is -31.8 eV per cell.

It has space group Pm-3m (No. 221), with a = 4.726 Å, b = 4.726 Å, c = 4.726 Å, α = 90.00°, β = 90.00° and γ = 90.00°. The inequivalent atoms are Ru at (0.000, 0.000, 0.000), Ru at (0.000, 0.500, 0.500) and Pt at (0.500, 0.500, 0.500).

=====

First-principles (GGA-PBE) data for a relaxed structure of Na2MgHg, as listed in the Alexandria database.

The formation energy is -98 meV per atom. The value obtained for the calculated total energy is -19.7 eV per cell.

It has space group F-43m (No. 216), with a = 7.377 Å, b = 7.377 Å, c = 7.377 Å, α = 90.00°, β = 90.00° and γ = 90.00°. The inequivalent atoms are Na at (0.000, 0.000, 0.000), Na at (0.250, 0.250, 0.250), Mg at (0.250, 0.250, 0.750) and Hg at (0.000, 0.000, 0.500).

=====

First-principles (GGA-PBE) data for a relaxed structure of KTiC3, as listed in the Alexandria database.

The formation energy is 1597 meV per atom. The value obtained for the calculated total energy is -28.7 eV per cell.

It has space group Pm-3m (No. 221), with a = 4.182 Å, b = 4.182 Å, c = 4.182 Å, α = 90.00°, β = 90.00° and γ = 90.00°. The inequivalent atoms are K at (0.000, 0.000, 0.000), Ti at (0.500, 0.500, 0.500) and C at (0.000, 0.500, 0.500).

=====

- What is the calculated total energy in the second record?
  -19.7 eV per cell

=====

- Which of these has the highest calculated total energy?
  Na2MgHg

=====

What did the third record say?
First-principles (GGA-PBE) data for a relaxed structure of KTiC3, as listed in the Alexandria database.

The formation energy is 1597 meV per atom. The value obtained for the calculated total energy is -28.7 eV per cell.

It has space group Pm-3m (No. 221), with a = 4.182 Å, b = 4.182 Å, c = 4.182 Å, α = 90.00°, β = 90.00° and γ = 90.00°. The inequivalent atoms are K at (0.000, 0.000, 0.000), Ti at (0.500, 0.500, 0.500) and C at (0.000, 0.500, 0.500).

=====

- What is the formula in the second record?
  Na2MgHg